Entry 1:
The following is a GGA-PBE calculation of a geometry-optimized NaZnInHg structure, from Alexandria via LeMat-Bulk.

Cell and atoms, written as extended XYZ:
```
4
Lattice="0.000 3.592 3.592 3.592 0.000 3.592 3.592 3.592 0.000" Properties=species:S:1:pos:R:3 pbc="T T T"
Na 0.000 0.000 0.000
Zn 5.388 5.388 5.388
In 3.592 3.592 3.592
Hg 1.796 1.796 1.796
```

## Properties
Its theoretical density is 7.2 g/cm³. As for the volume: 23.2 A^3/atom. The calculation puts the energy of formation at -0.06 eV per atom. The magnetic moment is 0.0 μB per cell.

---

Entry 2:
The following is a GGA-PBE calculation of a geometry-optimized K4Mg3SnF12 structure, from Alexandria via LeMat-Bulk.

Cell and atoms, written as extended XYZ:
```
20
Lattice="-4.232 4.232 4.232 4.232 -4.232 4.232 4.232 4.232 -4.232" Properties=species:S:1:pos:R:3 pbc="T T T"
K 2.116 2.116 -2.116
K 2.116 -2.116 2.116
K -2.116 2.116 2.116
K 2.116 2.116 2.116
Mg 4.232 0.000 0.000
Mg 0.000 4.232 0.000
Mg 0.000 0.000 4.232
Sn 0.000 0.000 0.000
F 2.305 0.000 0.000
F 6.158 0.000 0.000
F 4.232 2.116 0.000
F 4.232 0.000 2.116
F 0.000 2.305 0.000
F 0.000 0.000 2.305
F 2.116 4.232 0.000
F 2.116 0.000 4.232
F 0.000 6.158 0.000
F 0.000 0.000 6.158
F 0.000 4.232 2.116
F 0.000 2.116 4.232
```

## Properties
The calculation puts the formation energy without anion corrections at -3.0469 eV/atom. Its theoretical density is 3.2 g/cm³. As for the volume: 15.2 A^3/atom. The magnetic moment is 0.0 μB per cell.

---

Entry 3:
The following is a GGA-PBE calculation of a geometry-optimized KTaTl2 structure, from Alexandria via LeMat-Bulk.

Cell and atoms, written as extended XYZ:
```
4
Lattice="2.163 -2.245 0.000 2.163 2.245 0.000 0.000 0.000 10.378" Properties=species:S:1:pos:R:3 pbc="T T T"
K 0.000 0.000 0.000
Ta 0.000 0.000 5.189
Tl 2.163 0.000 2.871
Tl 2.163 0.000 7.506
```

## Properties
Its theoretical density is 10.4 g/cm³. As for the volume: 25.2 A^3/atom. The calculation puts the energy of formation at 0.42 eV per atom. The magnetic moment is 0.0 μB per cell.